Entry from Alexandria via LeMat-Bulk: crystalline CaGa4Ag at its relaxed geometry (PBE).

a = 5.556 Å, b = 5.556 Å, c = 5.556 Å
α = 60.00°, β = 60.00°, γ = 60.00°
Fractional positions:
Ag: 0.250 0.250 0.250
Ca: 0.000 0.000 0.000
Ga: 0.126 0.625 0.625
Ga: 0.625 0.625 0.625
Ga: 0.625 0.126 0.625
Ga: 0.625 0.625 0.126

Energy relative to the elements: -1.08 eV per formula unit
E: -3.0068 eV per atom